[1]
This record from Alexandria describes a relaxed SrVPb3 crystal. The functional is PBE.

a = 5.363 Å, b = 5.363 Å, c = 5.363 Å
α = 90.00°, β = 90.00°, γ = 90.00°
Space group Pm-3m (No. 221)
Unique sites:
Sr: 0.000 0.000 0.000 [1 per cell]
V: 0.500 0.500 0.500 [1 per cell]
Pb: 0.000 0.500 0.500 [3 per cell]

Summary:
Theoretical density ... 8.18 Mg/m³
Relative energy among the computed polymorphs ... 0.000 eV per atom
Size of the total moment ... 0.007 μB/cell
DOS at the Fermi energy ... 3.4 states/eV per cell
Formation enthalpy at 0 K ... 0.029 eV per atom
Calculated volume ... 154.3 Å³/cell

---

[2]
This record from Alexandria describes a relaxed La5Y4Mg crystal. The functional is PBE.

a = 3.762 Å, b = 3.762 Å, c = 24.148 Å
α = 90.00°, β = 90.00°, γ = 90.00°
Space group P4/mmm (No. 123)
Unique sites:
La: 0.000 0.000 0.000 [1 per cell]
La: 0.000 0.000 0.204 [2 per cell]
La: 0.000 0.000 0.411 [2 per cell]
Y: 0.500 0.500 0.102 [2 per cell]
Y: 0.500 0.500 0.307 [2 per cell]
Mg: 0.500 0.500 0.500 [1 per cell]

Summary:
Theoretical density ... 5.22 Mg/m³
Size of the total moment ... 0.000 μB/cell
DOS at the Fermi energy ... 14.3 states/eV per cell
Formation enthalpy at 0 K ... 0.003 eV per atom
Calculated volume ... 341.7 Å³/cell

---

[3]
This record from Alexandria describes a relaxed AcSmAg2Te4 crystal. The functional is PBE.

a = 7.659 Å, b = 7.922 Å, c = 8.691 Å
α = 90.00°, β = 90.00°, γ = 90.00°
Space group I222 (No. 23)
Unique sites:
Ac: 0.000 0.000 0.000 [2 per cell]
Sm: 0.000 0.000 0.500 [2 per cell]
Ag: 0.000 0.500 0.163 [4 per cell]
Te: 0.232 0.228 0.303 [8 per cell]

Summary:
Theoretical density ... 6.95 Mg/m³
Formation energy (no corrections) ... -831 meV/atom
Size of the total moment ... 0.000 μB/cell
DOS at the Fermi energy ... 2.0 states/eV per cell
Calculated volume ... 527.3 Å³/cell

---

calculated volume of number 1 (SrVPb3)? 154.3 Å³/cell

---

The highest size of the total moment belongs to which entry? SrVPb3